Record 1
First-principles (PBE) data for crystalline LiHgIO4 at its relaxed geometry, as listed in Alexandria via LeMat-Bulk.

abc: 6.918 6.574 6.574
angles: 66.04 58.25 58.25
Positions (direct):
Li  0.000  0.000  0.000
Li  0.000  0.500  0.500
Hg  0.500  0.000  0.500
Hg  0.000  0.000  0.500
I  0.704  0.546  0.046
I  0.296  0.454  0.954
O  0.775  0.760  0.690
O  0.225  0.810  0.740
O  0.775  0.190  0.260
O  0.225  0.240  0.310
O  0.361  0.683  0.183
O  0.773  0.683  0.183
O  0.227  0.317  0.817
O  0.639  0.317  0.817

## Properties
DFT total energy: -3.96 eV per atom
symmetry: Imma

***

Record 2
First-principles (PBE) data for crystalline CsTe2PdO8 at its relaxed geometry, as listed in Alexandria via LeMat-Bulk.

abc: 5.341 5.341 9.533
angles: 90.00 90.00 120.00
Site moments in Bohr magnetons follow the coordinates.
Positions (direct):
Cs  0.000  0.000  0.000  0.00
Te  0.667  0.333  0.314  0.02
Te  0.333  0.667  0.686  0.02
Pd  0.000  0.000  0.500  0.50
O  0.333  0.667  0.877  0.04
O  0.316  0.307  0.370  0.06
O  0.693  0.008  0.370  0.06
O  0.667  0.333  0.123  0.04
O  0.307  0.992  0.630  0.06
O  0.684  0.693  0.630  0.06
O  0.008  0.316  0.630  0.06
O  0.992  0.684  0.370  0.06

## Properties
DFT total energy: -5.12 eV per atom
symmetry: P-3

***

Record 3
First-principles (PBE) data for crystalline Cd2MoCl at its relaxed geometry, as listed in Alexandria via LeMat-Bulk.

abc: 5.322 5.322 2.983
angles: 89.99 89.99 114.04
Positions (direct):
Cd  0.000  0.000  0.000
Cd  0.500  0.500  0.000
Cl  0.500  0.000  0.500
Mo  0.000  0.500  0.500

## Properties
ΔE to the lowest computed polymorph: 213 meV/atom
DFT total energy: -3.28 eV per atom
symmetry: Cmmm

***

Record 4
First-principles (PBE) data for crystalline Sr2LaSn at its relaxed geometry, as listed in Alexandria via LeMat-Bulk.

abc: 9.836 9.836 7.767
angles: 50.71 50.71 90.00
Positions (direct):
Sr  0.572  0.125  0.250
Sr  0.178  0.625  0.250
Sr  0.375  0.428  0.750
Sr  0.875  0.822  0.750
Sn  0.500  0.500  0.000
Sn  0.250  0.750  0.500
La  0.000  0.000  0.000
La  0.750  0.250  0.500

## Properties
formation energy from the elements: -0.055 eV/atom
DFT total energy: -3.13 eV per atom
symmetry: I-42d

***

Record 5
First-principles (PBE) data for crystalline La6ZnAu5 at its relaxed geometry, as listed in Alexandria via LeMat-Bulk.

abc: 5.326 9.303 9.303
angles: 120.43 106.61 106.61
Positions (direct):
Zn  0.000  0.000  0.000
Au  0.500  0.153  0.847
Au  0.000  0.332  0.668
Au  0.500  0.500  0.500
Au  0.000  0.668  0.332
Au  0.500  0.847  0.153
La  0.251  0.082  0.420
La  0.749  0.580  0.918
La  0.756  0.256  0.256
La  0.244  0.744  0.744
La  0.251  0.420  0.082
La  0.749  0.918  0.580

## Properties
formation energy from the elements: -0.702 eV/atom
DFT total energy: -4.64 eV per atom
symmetry: C2/m

***

Record 6
First-principles (PBE) data for crystalline YHgIN2 at its relaxed geometry, as listed in Alexandria via LeMat-Bulk.

abc: 4.371 4.371 5.753
angles: 90.00 90.00 90.00
Site moments in Bohr magnetons follow the coordinates.
Positions (direct):
I  0.000  0.000  0.500  0.00
Y  0.500  0.500  0.500  -0.12
Hg  0.000  0.000  0.000  0.01
N  0.000  0.500  0.000  0.49
N  0.500  0.000  0.000  0.49

## Properties
ΔE to the lowest computed polymorph: 621 meV/atom
DFT total energy: -3.67 eV per atom
symmetry: P4/mmm

***

Record 7
First-principles (PBE) data for crystalline La2PmHoS4 at its relaxed geometry, as listed in Alexandria via LeMat-Bulk.

abc: 4.019 7.021 7.086
angles: 109.04 90.00 90.00
Positions (direct):
La  0.500  0.000  0.500
La  0.000  0.500  0.500
Pm  0.500  0.500  0.000
Ho  0.000  0.000  0.000
S  0.500  0.237  0.232
S  0.500  0.763  0.768
S  0.000  0.248  0.763
S  0.000  0.752  0.237

## Properties
DFT total energy: -6.55 eV per atom
symmetry: P2/m

***

Record 8
First-principles (PBE) data for crystalline Co5Ge at its relaxed geometry, as listed in Alexandria via LeMat-Bulk.

abc: 3.531 3.567 5.635
angles: 108.45 90.00 90.00
Site moments in Bohr magnetons follow the coordinates.
Positions (direct):
Ge  0.000  0.000  0.000  -0.09
Co  0.500  0.829  0.658  1.34
Co  0.000  0.673  0.346  1.46
Co  0.500  0.500  0.000  1.04
Co  0.000  0.327  0.654  1.46
Co  0.500  0.171  0.342  1.34

## Properties
ΔE to the lowest computed polymorph: 0 meV/atom
formation energy from the elements: -0.041 eV/atom
DFT total energy: -6.73 eV per atom
symmetry: Cmmm

***

Record 9
First-principles (PBE) data for crystalline Ac3DyPb2 at its relaxed geometry, as listed in Alexandria via LeMat-Bulk.

abc: 7.543 8.631 9.697
angles: 116.42 112.89 90.00
Positions (direct):
Ac  0.500  0.250  0.000
Ac  0.500  0.750  0.000
Ac  0.794  0.044  0.587
Ac  0.206  0.456  0.413
Ac  0.206  0.956  0.413
Ac  0.794  0.544  0.587
Dy  0.000  0.500  0.000
Dy  0.000  0.000  0.000
Pb  0.543  0.360  0.720
Pb  0.823  0.140  0.280
Pb  0.177  0.860  0.720
Pb  0.457  0.640  0.280

## Properties
formation energy from the elements: -0.176 eV/atom
DFT total energy: -4.23 eV per atom
symmetry: Ibam

***

Record 10
First-principles (PBE) data for crystalline BaBiSb3 at its relaxed geometry, as listed in Alexandria via LeMat-Bulk.

abc: 6.136 6.136 6.136
angles: 90.00 90.00 90.00
Positions (direct):
Sb  0.000  0.500  0.000
Sb  0.000  0.000  0.500
Sb  0.500  0.000  0.000
Bi  0.500  0.500  0.500
Ba  0.000  0.000  0.000

## Properties
ΔE to the lowest computed polymorph: 887 meV/atom
DFT total energy: -2.61 eV per atom
symmetry: Pm-3m

***

Record 11
First-principles (PBE) data for crystalline BaMg11Zn at its relaxed geometry, as listed in Alexandria via LeMat-Bulk.

abc: 5.903 7.889 7.938
angles: 82.51 68.17 69.47
Positions (direct):
Ba  0.000  0.000  0.000
Mg  0.288  0.229  0.218
Mg  0.712  0.771  0.782
Mg  0.494  0.771  0.218
Mg  0.505  0.229  0.782
Mg  0.353  0.640  0.648
Mg  0.647  0.360  0.352
Mg  0.000  0.360  0.648
Mg  0.000  0.640  0.352
Mg  0.000  0.500  0.000
Mg  0.500  0.000  0.500
Mg  0.000  0.000  0.500
Zn  0.500  0.500  0.000

## Properties
formation energy from the elements: -0.061 eV/atom
DFT total energy: -1.66 eV per atom
symmetry: C2/m

***

Record 12
First-principles (PBE) data for crystalline Ac3BiIrPt at its relaxed geometry, as listed in Alexandria via LeMat-Bulk.

abc: 4.562 9.011 10.630
angles: 117.09 90.00 90.00
Positions (direct):
Ac  0.250  0.725  0.477
Ac  0.750  0.916  0.132
Ac  0.750  0.484  0.141
Ac  0.750  0.275  0.523
Ac  0.250  0.516  0.859
Ac  0.250  0.084  0.868
Bi  0.750  0.732  0.739
Bi  0.250  0.268  0.261
Ir  0.250  0.726  0.175
Ir  0.750  0.274  0.825
Pt  0.250  0.106  0.598
Pt  0.750  0.894  0.402

## Properties
formation energy from the elements: -0.775 eV/atom
DFT total energy: -5.96 eV per atom
symmetry: P2_1/m

***

Record 13
First-principles (PBE) data for crystalline VCuAu3 at its relaxed geometry, as listed in Alexandria via LeMat-Bulk.

abc: 4.874 4.874 4.874
angles: 90.00 90.00 90.00
Site moments in Bohr magnetons follow the coordinates.
Positions (direct):
Au  0.000  0.500  0.000  0.01
Au  0.000  0.000  0.500  0.01
Au  0.500  0.000  0.000  0.01
Cu  0.500  0.500  0.500  0.00
V  0.000  0.000  0.000  0.16

## Properties
ΔE to the lowest computed polymorph: 342 meV/atom
formation energy from the elements: 1.066 eV/atom
DFT total energy: -3.54 eV per atom
symmetry: Pm-3m

***

Record 14
First-principles (PBE) data for crystalline AlTcPb2 at its relaxed geometry, as listed in Alexandria via LeMat-Bulk.

abc: 7.043 5.550 3.484
angles: 90.04 60.24 126.44
Site moments in Bohr magnetons follow the coordinates.
Positions (direct):
Pb  0.000  0.000  0.000  0.00
Pb  0.500  0.000  0.500  -0.01
Tc  0.000  0.500  0.500  0.25
Al  0.500  0.500  0.000  0.00

## Properties
formation energy from the elements: 0.643 eV/atom
DFT total energy: -4.74 eV per atom
symmetry: P-1

***

Record 15
First-principles (PBE) data for crystalline Pr8SiS3Br4 at its relaxed geometry, as listed in Alexandria via LeMat-Bulk.

abc: 8.334 8.826 8.334
angles: 118.17 120.00 90.00
Positions (direct):
Pr  0.237  0.702  0.965
Pr  0.237  0.702  0.474
Pr  0.268  0.304  0.536
Pr  0.728  0.702  0.965
Pr  0.272  0.298  0.035
Pr  0.732  0.696  0.464
Pr  0.763  0.298  0.526
Pr  0.763  0.298  0.035
Si  0.000  0.500  0.000
S  0.500  0.500  0.000
S  0.500  0.500  0.500
S  0.000  0.500  0.500
Br  0.500  0.000  0.000
Br  0.500  0.000  0.500
Br  0.000  0.000  0.000
Br  0.000  0.000  0.500

## Properties
DFT total energy: -5.42 eV per atom
symmetry: R-3m

***

Record 16
First-principles (PBE) data for crystalline YSn2Cl at its relaxed geometry, as listed in Alexandria via LeMat-Bulk.

abc: 5.357 5.357 5.357
angles: 60.00 60.00 60.00
Positions (direct):
Y  0.500  0.500  0.500
Sn  0.250  0.250  0.250
Sn  0.750  0.750  0.750
Cl  0.000  0.000  0.000

## Properties
ΔE to the lowest computed polymorph: 314 meV/atom
DFT total energy: -4.27 eV per atom
symmetry: Fm-3m

***

Record 17
First-principles (PBE) data for crystalline YThPb2 at its relaxed geometry, as listed in Alexandria via LeMat-Bulk.

abc: 5.119 5.119 6.175
angles: 65.51 65.51 60.00
Positions (direct):
Pb  0.744  0.744  0.768
Pb  0.256  0.256  0.232
Y  0.000  0.000  0.000
Th  0.500  0.500  0.500

## Properties
ΔE to the lowest computed polymorph: 42 meV/atom
formation energy from the elements: -0.338 eV/atom
DFT total energy: -5.66 eV per atom
symmetry: R-3m

***

Record 18
First-principles (PBE) data for crystalline LiCaEuSb at its relaxed geometry, as listed in Alexandria via LeMat-Bulk.

abc: 5.434 5.434 5.434
angles: 60.00 60.00 60.00
Site moments in Bohr magnetons follow the coordinates.
Positions (direct):
Eu  0.750  0.750  0.750  -6.88
Sb  0.500  0.500  0.500  0.04
Ca  0.250  0.250  0.250  -0.03
Li  0.000  0.000  0.000  -0.02

## Properties
DFT total energy: -5.12 eV per atom
symmetry: F-43m

***

Record 19
First-principles (PBE) data for crystalline HfAg2I at its relaxed geometry, as listed in Alexandria via LeMat-Bulk.

abc: 3.447 3.447 7.784
angles: 90.00 90.00 90.00
Positions (direct):
I  0.500  0.500  0.436
Hf  0.000  0.000  0.674
Ag  0.000  0.000  0.081
Ag  0.500  0.500  0.895

## Properties
ΔE to the lowest computed polymorph: 140 meV/atom
DFT total energy: -4.23 eV per atom
symmetry: P4mm

***

Record 20
First-principles (PBE) data for crystalline KRbSc2Br8 at its relaxed geometry, as listed in Alexandria via LeMat-Bulk.

abc: 7.501 7.501 10.922
angles: 69.92 69.92 60.00
Positions (direct):
K  0.000  0.000  0.000
Rb  0.500  0.500  0.500
Sc  0.245  0.245  0.266
Sc  0.755  0.755  0.734
Br  0.162  0.162  0.514
Br  0.562  0.318  0.191
Br  0.838  0.838  0.486
Br  0.929  0.562  0.191
Br  0.071  0.438  0.809
Br  0.318  0.929  0.191
Br  0.682  0.071  0.809
Br  0.438  0.682  0.809

## Properties
DFT total energy: -4.03 eV per atom
symmetry: R-3